The following is a DFT calculation (PBE) of a relaxed structure of ZrGaCoCl2.

Cell: 4.743 4.743 4.720 Å, 90.00 90.00 90.00°
Element x y z (fractional)
Zr1 0.000 0.000 0.000
Ga1 0.500 0.500 0.500
Co1 0.500 0.500 0.000
Cl1 0.000 0.500 0.500
Cl2 0.500 0.000 0.500

Properties
The space group is P4/mmm. As for the volume: 106.2 Å³/cell. The energy comes out at -3.840 eV/atom.

---

The following is a DFT calculation (PBE) of a relaxed structure of Gd2CoCl.

Cell: 7.740 7.740 7.740 Å, 28.87 28.87 28.87°
Element x y z (fractional)
Gd1 0.233 0.233 0.233
Gd2 0.767 0.767 0.767
Co1 0.500 0.500 0.500
Cl1 0.000 0.000 0.000

Properties
The space group is R-3m. As for the volume: 95.6 Å³/cell. The energy comes out at -10.151 eV/atom.

---

The following is a DFT calculation (PBE) of a relaxed structure of Gd2CoCl.

Cell: 3.323 3.323 7.926 Å, 90.00 90.00 90.00°
Element x y z (fractional)
Gd1 0.000 0.000 0.212
Gd2 0.000 0.000 0.788
Co1 0.500 0.500 0.000
Cl1 0.500 0.500 0.500

Properties
The space group is P4/mmm. As for the volume: 87.5 Å³/cell. The energy comes out at -9.995 eV/atom.

---

The following is a DFT calculation (PBE) of a relaxed structure of Gd6CoCl10.

Cell: 7.195 8.927 8.985 Å, 108.88 96.57 105.80°
Element x y z (fractional)
Gd1 0.034 0.199 0.400
Gd2 0.137 0.556 0.257
Gd3 0.361 0.639 0.689
Gd4 0.639 0.361 0.311
Gd5 0.863 0.444 0.743
Gd6 0.966 0.801 0.600
Co1 0.000 0.500 0.500
Cl1 0.090 0.872 0.339
Cl2 0.220 0.253 0.156
Cl3 0.236 0.578 0.951
Cl4 0.341 0.951 0.778
Cl5 0.452 0.326 0.575
Cl6 0.548 0.674 0.425
Cl7 0.659 0.049 0.222
Cl8 0.764 0.422 0.049
Cl9 0.780 0.747 0.844
Cl10 0.910 0.128 0.661

Properties
The space group is P-1. As for the volume: 512.3 Å³/cell. The energy comes out at -8.356 eV/atom.

---

The following is a DFT calculation (PBE) of a relaxed structure of Co3GeCl.

Cell: 4.149 4.149 4.149 Å, 90.00 90.00 90.00°
Element x y z (fractional)
Co1 0.000 0.000 0.500
Co2 0.000 0.500 0.000
Co3 0.500 0.000 0.000
Ge1 0.500 0.500 0.500
Cl1 0.000 0.000 0.000

Properties
The space group is Pm-3m. As for the volume: 71.4 Å³/cell. The energy comes out at -4.753 eV/atom.

---

The following is a DFT calculation (PBE) of a relaxed structure of Co2GeCl.

Cell: 6.074 6.074 6.074 Å, 125.68 125.68 80.41°
Element x y z (fractional)
Co1 0.112 0.625 0.987
Co2 0.375 0.362 0.487
Co3 0.638 0.125 0.013
Co4 0.875 0.888 0.513
Ge1 0.250 0.750 0.500
Ge2 0.500 0.500 0.000
Cl1 0.000 0.000 0.000
Cl2 0.750 0.250 0.500

Properties
The space group is I-42d. As for the volume: 142.7 Å³/cell. The energy comes out at -4.822 eV/atom.

---

The following is a DFT calculation (PBE) of a relaxed structure of CoGe3Cl.

Cell: 4.885 4.885 4.885 Å, 90.00 90.00 90.00°
Element x y z (fractional)
Co1 0.000 0.000 0.000
Ge1 0.000 0.500 0.500
Ge2 0.500 0.000 0.500
Ge3 0.500 0.500 0.000
Cl1 0.500 0.500 0.500

Properties
The space group is Pm-3m. As for the volume: 116.6 Å³/cell. The energy comes out at -3.332 eV/atom.

---

The following is a DFT calculation (PBE) of a relaxed structure of CoGe2Cl.

Cell: 4.591 4.591 4.591 Å, 60.00 60.00 60.00°
Element x y z (fractional)
Co1 0.000 0.000 0.000
Ge1 0.250 0.250 0.250
Ge2 0.750 0.750 0.750
Cl1 0.500 0.500 0.500

Properties
The space group is Fm-3m. As for the volume: 68.4 Å³/cell. The energy comes out at -3.957 eV/atom.